No. 1
The following is a GGA-PBE calculation of a geometry-optimized NpU6Sb10 structure, from Alexandria.

Properties
Its final energy is -7.445 eV/atom. As for the energy relative to the elements, uncorrected: -0.275 eV/atom.

```
NpU6Sb10
1.0
6.105 0.000 0.000
0.000 8.012 -4.626
0.000 0.000 9.252
U Sb Np
6 10 1
direct
0.744 0.000 0.613 U
0.256 0.000 0.387 U
0.256 0.613 0.613 U
0.744 0.387 0.387 U
0.256 0.387 0.000 U
0.744 0.613 0.000 U
0.234 0.271 0.271 Sb
0.500 0.333 0.667 Sb
0.000 0.667 0.333 Sb
0.234 0.729 0.000 Sb
0.766 0.000 0.271 Sb
0.766 0.271 0.000 Sb
0.500 0.667 0.333 Sb
0.766 0.729 0.729 Sb
0.234 0.000 0.729 Sb
0.000 0.333 0.667 Sb
0.500 0.000 0.000 Np
```



No. 2
The following is a GGA-PBE calculation of a geometry-optimized SrMgTl2I6 structure, from Alexandria.

Properties
Its final energy is -2.778 eV/atom. As for the energy relative to the elements, uncorrected: -1.047 eV/atom.

```
SrMgTl2I6
1.0
-5.442 1.422 -6.295
-8.278 0.446 1.594
-3.988 7.631 -0.490
Mg I Tl Sr
1 6 2 1
direct
0.323 0.323 0.032 Mg
0.101 0.460 0.780 I
0.567 0.184 0.258 I
0.460 0.659 0.780 I
0.991 0.567 0.258 I
0.184 0.991 0.258 I
0.659 0.101 0.780 I
0.529 0.529 0.412 Tl
0.027 0.027 0.920 Tl
0.821 0.821 0.536 Sr
```



No. 3
The following is a GGA-PBE calculation of a geometry-optimized PrSm2PuS4 structure, from Alexandria.

Properties
Its final energy is -7.604 eV/atom. As for the energy relative to the elements, uncorrected: -1.971 eV/atom.

```
PrSm2PuS4
1.0
-3.979 0.288 -0.386
-0.584 -6.904 0.857
-0.377 3.128 6.218
Pu S Pr Sm
1 4 1 2
direct
0.500 0.500 0.000 Pu
0.000 0.256 0.751 S
0.500 0.743 0.746 S
0.000 0.744 0.249 S
0.500 0.257 0.254 S
0.000 0.000 0.000 Pr
0.000 0.500 0.500 Sm
0.500 0.000 0.500 Sm
```